Compound: Na2LiGaF6
Source: Alexandria
Functional: PBEsol
Structure: optimized geometry

```
10
Lattice="0.0000 3.8419 3.8419 3.8419 0.0000 3.8419 3.8419 3.8419 0.0000" Properties=species:S:1:pos:R:3 pbc="T T T"
Na 1.9209 1.9209 1.9209
Na 5.7628 5.7628 5.7628
Li 0.0000 0.0000 0.0000
Ga 3.8419 3.8419 3.8419
F 3.8419 3.8419 1.9547
F 3.8419 1.9547 3.8419
F 5.7291 3.8419 3.8419
F 1.9547 3.8419 3.8419
F 3.8419 5.7291 3.8419
F 3.8419 3.8419 5.7291
```

Summary:
M_tot in μB/f.u.: 0.00
ρ in g cm⁻³: 3.5
Formation energy without anion corrections in meV per atom: -2786

Compound: LiGaPO4F
Source: Alexandria
Functional: PBEsol
Structure: optimized geometry

```
16
Lattice="5.1027 0.0000 0.0000 -0.7731 5.1738 0.0000 -2.3022 -2.4630 6.3416" Properties=species:S:1:pos:R:3 pbc="T T T"
Li 0.1484 1.2084 1.9501
Li 1.8790 1.5024 4.3915
Ga 2.5513 0.0000 0.0000
Ga 1.4002 -1.2315 3.1708
P -1.0553 0.0200 4.6752
P 3.0827 2.6908 1.6664
O -0.8905 2.8844 2.7045
O -1.4685 1.3493 5.3541
O -0.9716 -1.1337 5.6685
O 0.2985 0.2195 3.9109
O 1.7288 2.4913 2.4308
O 2.9989 3.8445 0.6731
O 3.4959 1.3615 0.9875
O 2.9179 -0.1736 3.6371
F 1.2833 -0.2416 1.4897
F 0.7441 2.9524 4.8519
```

Summary:
M_tot in μB/f.u.: 0.00
ρ in g cm⁻³: 3.8
Formation energy without anion corrections in meV per atom: -2343

Compound: Rb2LiGaF6
Source: Alexandria
Functional: PBEsol
Structure: optimized geometry

```
10
Lattice="0.0000 4.0697 4.0697 4.0697 0.0000 4.0697 4.0697 4.0697 0.0000" Properties=species:S:1:pos:R:3 pbc="T T T"
Rb 2.0348 2.0348 2.0348
Rb 6.1045 6.1045 6.1045
Li 0.0000 0.0000 0.0000
Ga 4.0697 4.0697 4.0697
F 4.0697 4.0697 2.1462
F 4.0697 2.1462 4.0697
F 5.9931 4.0697 4.0697
F 2.1462 4.0697 4.0697
F 4.0697 5.9931 4.0697
F 4.0697 4.0697 5.9931
```

Summary:
M_tot in μB/f.u.: 0.00
ρ in g cm⁻³: 4.5
Formation energy without anion corrections in meV per atom: -2857

Compound: Rb2LiGaF6
Source: Alexandria
Functional: PBEsol
Structure: optimized geometry

```
20
Lattice="2.9116 1.6810 9.4794 -2.9116 1.6810 9.4794 0.0000 -3.3620 9.4794" Properties=species:S:1:pos:R:3 pbc="T T T"
Rb 0.0000 0.0000 3.6155
Rb 0.0000 0.0000 8.0625
Rb 0.0000 0.0000 20.3757
Rb 0.0000 0.0000 24.8228
Li 0.0000 0.0000 11.4781
Li 0.0000 0.0000 16.9602
Ga 0.0000 0.0000 0.0000
Ga 0.0000 0.0000 14.2191
F -1.3050 -0.7534 13.0571
F 0.0000 -1.7802 10.5700
F -1.5417 0.8901 10.5700
F -1.5417 -0.8901 17.8682
F 0.0000 -1.5069 15.3811
F -1.3050 0.7534 15.3811
F 1.3050 -0.7534 13.0571
F 0.0000 1.5069 13.0571
F 1.5417 0.8901 10.5700
F 1.5417 -0.8901 17.8682
F 0.0000 1.7802 17.8682
F 1.3050 0.7534 15.3811
```

Summary:
M_tot in μB/f.u.: 0.00
ρ in g cm⁻³: 4.3
Formation energy without anion corrections in meV per atom: -2865

Compound: LiGa2RhF
Source: Alexandria
Functional: PBEsol
Structure: optimized geometry

```
5
Lattice="4.7205 0.0000 0.0000 0.0000 4.7205 0.0000 0.0000 0.0000 4.2695" Properties=species:S:1:pos:R:3 pbc="T T T"
Li 0.0000 0.0000 0.0000
Ga 0.0000 2.3602 2.1348
Ga 2.3602 0.0000 2.1348
Rh 2.3602 2.3602 2.1348
F 2.3602 2.3602 0.0000
```

Summary:
M_tot in μB/f.u.: 0.00
ρ in g cm⁻³: 4.7
Formation energy without anion corrections in meV per atom: -394

Compound: SrLiGaF6
Source: Alexandria
Functional: PBEsol
Structure: optimized geometry

```
18
Lattice="5.1535 0.0000 0.0000 -2.5768 4.4631 0.0000 0.0000 0.0000 10.3391" Properties=species:S:1:pos:R:3 pbc="T T T"
Sr 0.0000 0.0000 0.0000
Sr 0.0000 0.0000 5.1695
Li 0.0000 2.9754 2.5848
Li 2.5768 1.4877 7.7543
Ga 0.0000 2.9754 7.7543
Ga 2.5768 1.4877 2.5848
F -0.8864 1.6838 6.6706
F -1.5617 2.8536 8.8380
F 0.8864 1.6838 8.8380
F -0.6753 4.3888 6.6706
F 1.9014 0.0743 1.5011
F 1.0151 1.6095 3.6685
F 1.5617 2.8536 6.6706
F 0.6753 4.3888 8.8380
F 3.2521 0.0743 3.6685
F 1.6904 2.7793 1.5011
F 4.1385 1.6095 1.5011
F 3.4631 2.7793 3.6685
```

Summary:
M_tot in μB/f.u.: 0.00
ρ in g cm⁻³: 3.9
Formation energy without anion corrections in meV per atom: -3200